UTc2W (PBE, optimized geometry); D(E_F) = 1.523 states/eV per atom; energy of formation from the pure elements = 0.068 eV/f.u.; V = 17.0 A^3/atom
1.0
3.0652 0.0000 0.0000
0.0000 3.0652 0.0000
0.0000 0.0000 7.2546
Tc U W
2 1 1
Cartesian
0.0000 0.0000 1.5627
0.0000 0.0000 5.6919
1.5326 1.5326 3.6273
1.5326 1.5326 0.0000

=====

UTcW2 (PBE, optimized geometry); energy above the most stable polymorph in this dataset = 0.00 eV/f.u.; D(E_F) = 1.041 states/eV per atom; energy of formation from the pure elements = 0.960 eV/f.u.; V = 17.5 A^3/atom
1.0
2.9800 0.0000 0.0000
0.0000 2.9800 0.0000
0.0000 0.0000 7.8686
W U Tc
2 1 1
Cartesian
0.0000 0.0000 6.1982
0.0000 0.0000 1.6704
1.4900 1.4900 3.9343
1.4900 1.4900 0.0000

=====

YUTc (PBE, optimized geometry); energy above the most stable polymorph in this dataset = 0.00 eV/f.u.; D(E_F) = 1.881 states/eV per atom; energy of formation from the pure elements = -0.066 eV/f.u.; V = 22.0 A^3/atom
1.0
3.4443 0.0000 0.0000
0.0000 5.2112 0.0000
-1.7221 0.0000 7.3499
Tc U Y
2 2 2
Cartesian
1.7221 1.3028 1.5800
0.0000 3.9084 5.7700
1.7221 3.9084 3.9673
0.0000 1.3028 3.3827
1.7221 1.3028 6.2594
0.0000 3.9084 1.0905

=====

YUTc (PBE, optimized geometry); energy above the most stable polymorph in this dataset = 0.12 eV/f.u.; D(E_F) = 1.483 states/eV per atom; energy of formation from the pure elements = 0.055 eV/f.u.; V = 22.1 A^3/atom
1.0
-1.1724 1.0163 -3.0797
-2.5908 -2.2632 0.2394
-1.2661 4.4885 3.8937
U Y Tc
1 1 1
Cartesian
-1.8902 2.3209 1.4854
-0.0034 0.0042 0.0027
-3.1357 0.9164 -0.4346

=====

Y3U2Tc4 (PBE, optimized geometry); D(E_F) = 0.900 states/eV per atom; energy of formation from the pure elements = -1.531 eV/f.u.; V = 22.6 A^3/atom
1.0
-1.7093 3.7491 1.0646
-4.0795 -3.6542 -2.1873
-0.0308 -2.4336 8.5211
Tc Y U
4 3 2
Cartesian
-3.1190 0.8245 0.5947
-4.9214 -0.4689 2.2557
-2.7006 -3.1632 6.8037
-0.8982 -1.8698 5.1426
-2.1026 0.4922 3.3966
0.0000 0.0000 0.0000
-3.7170 -2.8310 4.0017
-2.5999 -0.6364 6.5731
-3.2197 -1.7023 0.8253

=====

Y2UTc3 (PBE, optimized geometry); D(E_F) = 0.589 states/eV per atom; energy of formation from the pure elements = 0.174 eV/f.u.; V = 23.1 A^3/atom
1.0
-0.2178 4.2931 2.2598
-2.4865 -3.5356 6.4770
7.7768 0.3941 0.0009
Y U Tc
4 2 6
Cartesian
1.7894 0.5028 7.0447
4.9785 1.7239 5.0323
3.2831 0.6488 1.6931
0.0940 -0.5723 3.7055
4.4302 -1.5898 6.0564
0.6423 2.7414 2.6814
1.9519 1.9637 4.2851
-1.0500 1.3909 7.6930
6.1225 -0.2393 1.0447
6.0136 1.9072 2.1747
3.1205 -0.8121 4.4526
-0.9411 -0.7556 6.5631